1.
{
  "formula": "TiZnTcPt",
  "functional": "PBE",
  "state": "relaxed",
  "de_polymorph_ev_per_atom": 0.000,
  "lattice_angstrom": [[3.292, 0.000, 0.000], [0.000, 4.108, 0.000], [0.000, 0.000, 4.352]],
  "species": ["Ti", "Zn", "Tc", "Pt"],
  "frac_coords": [[0.500, 0.500, 0.000], [0.500, 0.000, 0.500], [0.000, 0.000, 0.000], [0.000, 0.500, 0.500]]
}


2.
{
  "formula": "HoMgP2Ir5",
  "functional": "PBE",
  "state": "relaxed",
  "e_tot_ev_per_atom": -7.195,
  "lattice_angstrom": [[3.955, 0.000, 0.000], [0.000, 3.955, 0.000], [0.000, 0.000, 10.674]],
  "species": ["Ho", "Mg", "P", "P", "Ir", "Ir", "Ir", "Ir", "Ir"],
  "frac_coords": [[0.000, 0.000, 0.500], [0.000, 0.000, 0.000], [0.500, 0.500, 0.286], [0.500, 0.500, 0.714], [0.000, 0.500, 0.179], [0.500, 0.000, 0.179], [0.000, 0.500, 0.821], [0.500, 0.000, 0.821], [0.500, 0.500, 0.500]]
}